Material: GaTcN2O
Method: DFT, PBE
State: relaxed

The structure in POSCAR format:
```
GaTcN2O
1.0
3.8766 0.0000 0.0000
0.0000 3.8766 0.0000
0.0000 0.0000 3.7674
O N Tc Ga
1 2 1 1
Cartesian
0.0000 0.0000 1.8837 O
1.9383 0.0000 0.0000 N
0.0000 1.9383 0.0000 N
1.9383 1.9383 1.8837 Tc
0.0000 0.0000 0.0000 Ga
```

Symmetry: P4/mmm
Energy relative to the elements, uncorrected in eV/atom: 1.012
Volume in A^3/atom: 11.3
Calculated total energy in eV per atom: -5.989